DFT (PBE-GGA) results for a geometry-optimized Pm2Pr2Te2Se3 structure.

As for the density of states at the Fermi level: 0.546 states/eV/atom. The total energy comes out at -5.4608 eV/atom. As for the space-group type: No. 139. As for the crystal system: tetragonal. The energy relative to the elements, uncorrected comes out at -1483 meV per atom. The volume comes out at 266.1 Å³/cell.

Cell: 5.7612 5.7612 8.9917 Å, 108.68 108.68 90.00°
With the nearest neighbours (Å) after each atom.
Fractional coordinates of all 9 atoms:
Pm (0.5000, 0.0000, 0.0000)  2 Se 2.88
Pm (0.0000, 0.5000, 0.0000)  2 Se 2.88
Pr (0.1961, 0.1961, 0.3922)  5 Se 3.01-3.14, 1 Te 3.19
Pr (0.8039, 0.8039, 0.6078)  5 Se 3.01-3.14, 1 Te 3.19
Te (0.6047, 0.6047, 0.2094)  1 Pr 3.19, 4 Pm 3.33, 1 Te 3.36
Te (0.3953, 0.3953, 0.7906)  1 Pr 3.19, 4 Pm 3.33, 1 Te 3.36
Se (0.0000, 0.0000, 0.0000)  4 Pm 2.88, 2 Pr 3.14
Se (0.2500, 0.7500, 0.5000)  4 Pr 3.01
Se (0.7500, 0.2500, 0.5000)  4 Pr 3.01